An optimized crystal structure of Ga2MoHF. Source: the Alexandria database, functional GGA+U.

## Properties
Energy, eV/cell: -16.22
M_tot, μB/f.u.: 4.266

abc: 5.065 4.266 5.065
angles: 90.00 90.00 90.00
Site moments in Bohr magnetons follow the coordinates.
Fractional positions:
H  0.500  0.500  0.500  0.07
Mo  0.000  0.500  0.000  3.71
Ga  0.000  0.000  0.500  -0.03
Ga  0.500  0.000  0.000  -0.01
F  0.000  0.000  0.000  0.02